# 1
Material: Sm5Y2Tm4
Method: DFT, GGA-PBE
State: optimized geometry

Lattice parameters (Å, degrees): 3.5060 8.9907 23.5030 90.00 90.00 90.00
Closest atoms and distances in Å follow each position.
Space group Immm (No. 71)
Unique sites:
1 Sm 0.0000 0.0000 0.0000 x2  4 Tm 3.33, 2 Sm 3.51
2 Sm 0.0000 0.3020 0.3569 x8  3 Tm 3.41-3.53, 1 Y 3.45, 3 Sm 3.51-3.56
3 Y 0.0000 0.5000 0.2312 x4  1 Tm 3.16, 2 Sm 3.45, 2 Y 3.51
4 Tm 0.0000 0.1846 0.5000 x4  7 Tm 3.31-3.51, 4 Sm 3.33-3.53
5 Tm 0.0000 0.5000 0.0966 x4  1 Y 3.16, 6 Tm 3.31-3.51, 4 Sm 3.41

## Properties
- energy relative to the lowest polymorph listed for this composition (meV/atom) = 0
- E_form (eV per formula unit) = 2.14
- final energy (eV/atom) = -4.75
- total magnetization (μB per formula unit) = 0.001

# 2
Material: SmY4Tm4
Method: DFT, GGA-PBE
State: optimized geometry

Lattice parameters (Å, degrees): 10.6305 10.6305 5.0023 90.00 90.00 90.00
Closest atoms and distances in Å follow each position.
Space group I4/mmm (No. 139)
Unique sites:
1 Sm 0.0000 0.0000 0.0000 x2  8 Y 3.55, 4 Tm 3.57
2 Y 0.1673 0.1673 0.5000 x8  4 Y 3.53-3.56, 6 Tm 3.54-3.55, 2 Sm 3.55
3 Tm 0.0000 0.3357 0.0000 x8  5 Tm 3.49-3.52, 6 Y 3.54-3.55, 1 Sm 3.57

## Properties
- energy relative to the lowest polymorph listed for this composition (meV/atom) = 0
- E_form (eV per formula unit) = 0.25
- final energy (eV/atom) = -5.36
- total magnetization (μB per formula unit) = 0.000

# 3
Material: Sm2YTm8
Method: DFT, GGA-PBE
State: optimized geometry

Lattice parameters (Å, degrees): 9.0253 16.0677 5.8340 90.00 124.53 90.00
Closest atoms and distances in Å follow each position.
Space group C2/m (No. 12)
Unique sites:
1 Sm 0.0000 0.1921 0.0000 x4  10 Tm 3.34-3.74
2 Y 0.0000 0.5000 0.5000 x2  4 Tm 3.31-3.41
3 Tm 0.0000 0.2939 0.5000 x4  1 Y 3.31, 2 Sm 3.34, 6 Tm 3.54-3.64
4 Tm 0.0622 0.0000 0.2927 x4  4 Tm 2.93-3.19
5 Tm 0.2163 0.3810 0.1830 x8  4 Tm 3.17-3.54, 2 Sm 3.44-3.49

## Properties
- energy relative to the lowest polymorph listed for this composition (meV/atom) = 0
- E_form (eV per formula unit) = 1.76
- final energy (eV/atom) = -4.54
- total magnetization (μB per formula unit) = 0.000

# 4
Material: Sm2Y2Tm
Method: DFT, GGA-PBE
State: optimized geometry

Lattice parameters (Å, degrees): 9.2605 9.2605 3.8084 90.00 90.00 90.00
Closest atoms and distances in Å follow each position.
Space group P4/mbm (No. 127)
Unique sites:
1 Sm 0.1309 0.3691 0.0000 x4  6 Y 3.24-3.38, 1 Sm 3.43, 2 Tm 3.63
2 Y 0.1688 0.6688 0.5000 x4  6 Sm 3.24-3.38
3 Tm 0.0000 0.0000 0.0000 x2  4 Sm 3.63, 2 Tm 3.81, 8 Y 3.93

## Properties
- energy relative to the lowest polymorph listed for this composition (meV/atom) = 0
- E_form (eV per formula unit) = 0.53
- final energy (eV/atom) = -5.26
- total magnetization (μB per formula unit) = 0.000

# 5
Material: SmY4Tm6
Method: DFT, GGA-PBE
State: optimized geometry

Lattice parameters (Å, degrees): 6.5345 6.5345 16.9139 90.00 90.00 90.00
Closest atoms and distances in Å follow each position.
Space group I-42m (No. 121)
Unique sites:
1 Sm 0.0000 0.0000 0.0000 x2  4 Tm 3.27, 4 Y 3.42
2 Y 0.1873 0.1873 0.1742 x8  5 Tm 3.34-3.52, 1 Sm 3.42, 1 Y 3.46
3 Tm 0.0000 0.5000 0.0000 x4  4 Tm 3.24, 2 Sm 3.27
4 Tm 0.1786 0.1786 0.3714 x8  3 Tm 3.24-3.30, 5 Y 3.34-3.52

## Properties
- energy relative to the lowest polymorph listed for this composition (meV/atom) = 0
- E_form (eV per formula unit) = 3.40
- final energy (eV/atom) = -4.91
- total magnetization (μB per formula unit) = 0.000

# 6
Material: Sm2Y5Tm2
Method: DFT, GGA-PBE
State: optimized geometry

Lattice parameters (Å, degrees): 11.6579 5.7003 8.9606 90.00 102.40 90.00
Closest atoms and distances in Å follow each position.
Space group C2/m (No. 12)
Unique sites:
1 Sm 0.0465 0.0000 0.3195 x4  2 Tm 3.31-3.70, 5 Y 3.55-3.63, 1 Sm 3.63
2 Y 0.0000 0.5000 0.0000 x2  2 Y 3.39, 6 Tm 3.55-3.74
3 Y 0.1212 0.5000 0.6265 x4  4 Y 3.22-3.43, 1 Tm 3.38, 2 Sm 3.55
4 Y 0.2322 0.5000 0.3016 x4  4 Y 3.31-3.43, 3 Tm 3.34-3.69, 3 Sm 3.60-3.63
5 Tm 0.1856 0.0000 0.0335 x4  2 Sm 3.31-3.70, 2 Tm 3.34, 6 Y 3.34-3.69

## Properties
- energy relative to the lowest polymorph listed for this composition (meV/atom) = 0
- E_form (eV per formula unit) = 0.98
- final energy (eV/atom) = -5.52
- total magnetization (μB per formula unit) = 0.000

# 7
Material: Sm6YTm12
Method: DFT, GGA-PBE
State: optimized geometry

Lattice parameters (Å, degrees): 10.9915 10.9915 17.2931 90.00 90.00 120.00
Closest atoms and distances in Å follow each position.
Space group R-3m (No. 166, hexagonal axes)
Unique sites:
1 Sm 0.0681 0.5341 0.2671 x18  1 Y 3.06, 3 Tm 3.29-3.34
2 Y 0.0000 0.0000 0.5000 x3  6 Sm 3.06
3 Tm 0.1014 0.5507 0.9141 x18  7 Tm 3.42-3.82, 5 Sm 3.52-3.63
4 Tm 0.1059 0.2119 0.9074 x18  3 Sm 3.29-3.34, 5 Tm 3.42-3.49

## Properties
- energy relative to the lowest polymorph listed for this composition (meV/atom) = 0
- E_form (eV per formula unit) = 2.42
- final energy (eV/atom) = -4.53
- total magnetization (μB per formula unit) = 0.000

# 8
Material: Sm5YTm3
Method: DFT, GGA-PBE
State: optimized geometry

Lattice parameters (Å, degrees): 7.2633 17.3976 9.2908 90.00 90.00 90.00
Closest atoms and distances in Å follow each position.
Space group Imma (No. 74)
Unique sites:
1 Sm 0.0000 0.2500 0.0461 x4  2 Tm 3.30, 4 Sm 3.38, 3 Y 3.42-3.65
2 Sm 0.2462 0.0856 0.0732 x16  4 Sm 3.27-3.58, 1 Y 3.41, 2 Tm 3.51-3.53
3 Y 0.0000 0.2500 0.4140 x4  7 Sm 3.41-3.65, 2 Tm 3.61
4 Tm 0.0000 0.0718 0.7469 x8  8 Sm 3.51-3.67, 4 Tm 3.59-3.63
5 Tm 0.2500 0.2500 0.7500 x4  2 Sm 3.30, 6 Tm 3.59-3.63, 2 Y 3.61

## Properties
- energy relative to the lowest polymorph listed for this composition (meV/atom) = 0
- E_form (eV per formula unit) = 1.19
- final energy (eV/atom) = -4.70
- total magnetization (μB per formula unit) = 0.000

# 9
Material: Sm5YTm4
Method: DFT, GGA-PBE
State: optimized geometry

Lattice parameters (Å, degrees): 5.0359 7.1380 9.4333 100.60 105.47 90.15
Closest atoms and distances in Å follow each position.
Space group P1 (No. 1)
Unique sites:
1 Sm 0.0000 0.0000 0.0000 x1  5 Tm 3.54-3.57, 5 Sm 3.56-3.62, 2 Y 3.57-3.58
2 Sm 0.1979 0.5989 0.3957 x1  7 Tm 3.55-3.57, 4 Sm 3.55-3.57, 1 Y 3.59
3 Sm 0.3980 0.1996 0.7952 x1  5 Tm 3.55-3.57, 2 Y 3.56-3.58, 5 Sm 3.57-3.60
4 Sm 0.5991 0.3001 0.1981 x1  5 Sm 3.55-3.60, 7 Tm 3.55-3.58
5 Sm 0.7971 0.8987 0.5941 x1  5 Tm 3.54-3.57, 5 Sm 3.56-3.62, 2 Y 3.58
6 Y 0.3992 0.6995 0.7984 x1  5 Tm 3.55-3.57, 7 Sm 3.56-3.59
7 Tm 0.1986 0.0995 0.3972 x1  8 Sm 3.54-3.57, 4 Tm 3.57-3.58
8 Tm 0.5982 0.7978 0.1962 x1  7 Sm 3.55-3.58, 1 Y 3.55, 4 Tm 3.56-3.58
9 Tm 0.7987 0.4002 0.5974 x1  7 Sm 3.55-3.57, 3 Tm 3.56-3.58, 2 Y 3.57
10 Tm 0.9984 0.4987 0.9963 x1  2 Y 3.55-3.56, 3 Tm 3.56-3.57, 7 Sm 3.56-3.57

## Properties
- energy relative to the lowest polymorph listed for this composition (meV/atom) = 0
- E_form (eV per formula unit) = 0.19
- final energy (eV/atom) = -4.78
- total magnetization (μB per formula unit) = 0.000

# 10
Material: Sm12Y7Tm
Method: DFT, GGA-PBE
State: optimized geometry

Lattice parameters (Å, degrees): 12.9212 12.9212 14.0605 90.00 90.00 120.00
Closest atoms and distances in Å follow each position.
Space group R-3 (No. 148, hexagonal axes)
Unique sites:
1 Sm 0.0036 0.5689 0.2463 x18  3 Y 3.39-3.62, 4 Sm 3.39-3.78
2 Sm 0.0665 0.8684 0.3414 x18  2 Y 3.15-3.17, 2 Sm 3.15-3.39
3 Y 0.0000 0.0000 0.5000 x3  6 Sm 3.17
4 Y 0.0663 0.1995 0.8558 x18  1 Tm 3.05, 2 Sm 3.15-3.39, 1 Y 3.18
5 Tm 0.0000 0.0000 0.0000 x3  6 Y 3.05

## Properties
- energy relative to the lowest polymorph listed for this composition (meV/atom) = 0
- E_form (eV per formula unit) = 5.65
- final energy (eV/atom) = -5.04
- total magnetization (μB per formula unit) = 0.000

# 11
Material: Sm3Y7Tm2
Method: DFT, GGA-PBE
State: optimized geometry

Lattice parameters (Å, degrees): 5.8401 3.5700 18.7797 90.00 93.12 90.00
Closest atoms and distances in Å follow each position.
Space group P2/m (No. 10)
Unique sites:
1 Sm 0.0000 0.0000 0.0000 x1  8 Y 3.38-3.42, 2 Sm 3.57
2 Sm 0.2807 0.5000 0.6341 x2  2 Sm 3.57, 8 Y 3.67-3.93, 4 Tm 3.68-3.69
3 Y 0.1866 0.5000 0.1444 x2  2 Tm 3.32, 7 Y 3.35-3.57, 2 Sm 3.38
4 Y 0.2427 0.0000 0.4630 x2  1 Tm 3.18, 2 Y 3.22-3.24
5 Y 0.3100 0.0000 0.8209 x2  6 Y 3.47-3.57, 2 Tm 3.61-3.64
6 Y 0.5000 0.5000 0.0000 x1  4 Y 3.35-3.57, 4 Sm 3.42
7 Tm 0.2076 0.0000 0.2936 x2  3 Y 3.18-3.32

## Properties
- energy relative to the lowest polymorph listed for this composition (meV/atom) = 0
- E_form (eV per formula unit) = 1.07
- final energy (eV/atom) = -5.61
- total magnetization (μB per formula unit) = 0.000

# 12
Material: Sm6YTm
Method: DFT, GGA-PBE
State: optimized geometry

Lattice parameters (Å, degrees): 6.5730 6.8337 6.9723 118.86 101.30 90.55
Closest atoms and distances in Å follow each position.
Space group P-1 (No. 2)
Unique sites:
1 Sm 0.2287 0.4023 0.4699 x2  5 Sm 3.29-3.67, 1 Y 3.51
2 Sm 0.2487 0.9467 0.9987 x2  4 Sm 3.29-3.37, 1 Tm 3.45, 1 Y 3.49
3 Sm 0.2669 0.9265 0.5220 x2  5 Sm 3.29-3.66, 1 Tm 3.46
4 Y 0.5000 0.5000 0.0000 x1  2 Tm 3.29, 4 Sm 3.49-3.51
5 Tm 0.0000 0.5000 0.0000 x1  2 Y 3.29, 4 Sm 3.45-3.46

## Properties
- energy relative to the lowest polymorph listed for this composition (meV/atom) = 168
- E_form (eV per formula unit) = 1.49
- final energy (eV/atom) = -4.72
- total magnetization (μB per formula unit) = 0.000